Arrangement one

NaSrAg: optimized geometry, PBE.

Lattice parameters (Å, degrees): 6.5931 6.5931 6.5931 144.66 144.66 50.84
With the nearest neighbours (Å) after each atom.
Fractional positions:
Na1 0.0000 0.0000 0.0000  4 Ag 3.23, 1 Sr 3.39
Sr1 0.7152 0.7152 0.0000  4 Ag 3.37, 1 Na 3.39
Ag1 0.3693 0.3693 0.0000  4 Na 3.23, 4 Sr 3.37

Calculated values
Space-group type   I4mm, No. 107
Calculated volume   31.8 Å³ per atom
Mass density   3.8 g/cm³


Arrangement two

NaSrAg: optimized geometry, PBE.

Lattice parameters (Å, degrees): 7.5839 7.5839 8.9236 90.00 90.00 129.35
With the nearest neighbours (Å) after each atom.
Fractional positions:
Na1 0.1921 0.3079 0.2500  4 Ag 3.19-3.22, 2 Na 3.24
Na2 0.3079 0.1921 0.7500  4 Ag 3.19-3.22, 2 Na 3.24
Na3 0.6921 0.8079 0.2500  4 Ag 3.19-3.22, 2 Na 3.24
Na4 0.8079 0.6921 0.7500  4 Ag 3.19-3.22, 2 Na 3.24
Sr1 0.1837 0.8163 0.3970  4 Ag 3.28-3.48
Sr2 0.3163 0.6837 0.8970  4 Ag 3.28-3.48
Sr3 0.6837 0.3163 0.1030  4 Ag 3.28-3.48
Sr4 0.8163 0.1837 0.6030  4 Ag 3.28-3.48
Ag1 0.0989 0.9011 0.0513  1 Ag 2.86, 2 Na 3.19
Ag2 0.4011 0.5989 0.5513  1 Ag 2.86, 2 Na 3.19
Ag3 0.5989 0.4011 0.4487  1 Ag 2.86, 2 Na 3.19
Ag4 0.9011 0.0989 0.9487  1 Ag 2.86, 2 Na 3.19

Calculated values
Space-group type   Cmce, No. 64
Calculated volume   33.1 Å³ per atom
Mass density   3.7 g/cm³


Order from most stable to least stable according to the calculation: arrangement two, arrangement one


Arrangement one

NaSrAg: optimized geometry, PBE.

Lattice parameters (Å, degrees): 5.1584 5.1584 4.1785 90.00 90.00 120.00
With the nearest neighbours (Å) after each atom.
Fractional positions:
Na1 0.0000 0.0000 0.0000  3 Ag 2.98
Sr1 0.6667 0.3333 0.4979  6 Ag 3.63-3.65, 6 Na 3.63-3.64
Ag1 0.3333 0.6667 0.9940  3 Na 2.98

Calculated values
Space-group type   P3m1, No. 156
Calculated volume   32.1 Å³ per atom
Mass density   3.8 g/cm³


Arrangement two

NaSrAg: optimized geometry, PBE.

Lattice parameters (Å, degrees): 5.0199 9.9255 4.1780 90.00 90.00 90.00
With the nearest neighbours (Å) after each atom.
Fractional positions:
Na1 0.2500 0.1038 0.0000  1 Ag 3.13, 2 Na 3.25
Na2 0.7500 0.8962 0.0000  1 Ag 3.13, 2 Na 3.25
Sr1 0.2500 0.6748 0.5004  6 Ag 3.28-3.40
Sr2 0.7500 0.3252 0.5004  6 Ag 3.28-3.40
Ag1 0.2500 0.4194 0.0015  2 Ag 2.98, 1 Na 3.13, 2 Sr 3.28-3.29
Ag2 0.7500 0.5806 0.0015  2 Ag 2.98, 1 Na 3.13, 2 Sr 3.28-3.29

Calculated values
Space-group type   Pma2, No. 28
Calculated volume   34.7 Å³ per atom
Mass density   3.5 g/cm³


Order from most stable to least stable according to the calculation: arrangement two, arrangement one